12
Lattice="3.281 0.000 0.000 -1.641 2.842 0.000 0.000 0.000 29.617" Properties=species:S:1:pos:R:3 comment="PBE YZr2W, optimized geometry" polymorph_energy_mev_per_atom=267 rho_kg_m3=8211 dos_at_fermi_per_ev_fu=9.20 spacegroup="No. 160" e_form_ev_per_atom=0.43 pbc="T T T"
Y 0.000 0.000 0.000
Y 0.000 1.895 19.745
Y 1.641 0.947 9.872
Zr 0.000 0.000 15.368
Zr 0.000 0.000 22.658
Zr 0.000 1.895 5.496
Zr 0.000 1.895 12.786
Zr 1.641 0.947 2.913
Zr 1.641 0.947 25.240
W 0.000 0.000 7.518
W 0.000 1.895 27.262
W 1.641 0.947 17.390